(1)
# GGA-PBE Y2MgCd, relaxed
# * spin magnetization: 0.00 μB/cell
data_Y2MgCd
_chemical_formula_sum 'Y4 Mg2 Cd2'
_space_group_name_H-M_alt 'I m m m'
_space_group_IT_number 71
_space_group_name_Hall '-I 2 2'
_cell_length_a 3.359
_cell_length_b 5.447
_cell_length_c 13.235
_cell_angle_alpha 90.00
_cell_angle_beta 90.00
_cell_angle_gamma 90.00
loop_
_atom_site_label
_atom_site_fract_x
_atom_site_fract_y
_atom_site_fract_z
Y1 0.000 0.000 0.229
Mg1 0.000 0.000 0.500
Cd1 0.000 0.000 0.000

(2)
# GGA-PBE CsNdCuBr5, relaxed
# * formation energy from raw total energies: -1.45 eV per atom
# * spin magnetization: 0.61 μB/cell
data_CsNdCuBr5
_chemical_formula_sum 'Cs4 Nd4 Cu4 Br20'
_space_group_name_H-M_alt 'C 1 2/c 1'
_space_group_IT_number 15
_cell_length_a 9.732
_cell_length_b 12.839
_cell_length_c 10.924
_cell_angle_alpha 90.00
_cell_angle_beta 113.40
_cell_angle_gamma 90.00
loop_
_space_group_symop_operation_xyz
'x,y,z'
'-x,-y,-z'
'-x,y,-z+1/2'
'x,-y,z+1/2'
'x+1/2,y+1/2,z'
'-x+1/2,-y+1/2,-z'
'-x+1/2,y+1/2,-z+1/2'
'x+1/2,-y+1/2,z+1/2'
loop_
_atom_site_label
_atom_site_fract_x
_atom_site_fract_y
_atom_site_fract_z
Cs1 0.000 0.148 0.250
Nd1 0.000 0.500 0.000
Cu1 0.000 0.192 0.750
Br1 0.000 0.424 0.250
Br2 0.102 0.294 0.612
Br3 0.196 0.079 0.919

(3)
# GGA-PBE CaZr2AgN, relaxed
# * formation energy from raw total energies: -0.55 eV per atom
# * spin magnetization: 0.00 μB/cell
data_CaZr2AgN
_chemical_formula_sum 'Ca1 Zr2 Ag1 N1'
_space_group_name_H-M_alt 'P 4/m m m'
_space_group_IT_number 123
_space_group_name_Hall '-P 4 2'
_cell_length_a 4.472
_cell_length_b 4.472
_cell_length_c 4.885
_cell_angle_alpha 90.00
_cell_angle_beta 90.00
_cell_angle_gamma 90.00
loop_
_atom_site_label
_atom_site_fract_x
_atom_site_fract_y
_atom_site_fract_z
Ca1 0.000 0.000 0.000
Zr1 0.000 0.500 0.500
Ag1 0.500 0.500 0.000
N1 0.000 0.000 0.500

(4)
# GGA-PBE Zr2Al2V, relaxed
# * spin magnetization: 4.00 μB/cell
data_Zr2Al2V
_chemical_formula_sum 'Zr4 Al4 V2'
_space_group_name_H-M_alt 'P 4/m b m'
_space_group_IT_number 127
_space_group_name_Hall '-P 4 2ab'
_cell_length_a 7.066
_cell_length_b 7.066
_cell_length_c 3.830
_cell_angle_alpha 90.00
_cell_angle_beta 90.00
_cell_angle_gamma 90.00
loop_
_atom_site_label
_atom_site_fract_x
_atom_site_fract_y
_atom_site_fract_z
Zr1 0.173 0.327 0.000
Al1 0.129 0.629 0.500
V1 0.000 0.000 0.500

(5)
# GGA-PBE La5TbNd2Ho, relaxed
# * spin magnetization: 0.00 μB/cell
data_La5TbNd2Ho
_chemical_formula_sum 'La20 Tb4 Nd8 Ho4'
_space_group_name_H-M_alt 'I 4/m c m'
_space_group_IT_number 140
_space_group_name_Hall '-I 4 2c'
_cell_length_a 8.773
_cell_length_b 8.773
_cell_length_c 16.776
_cell_angle_alpha 90.00
_cell_angle_beta 90.00
_cell_angle_gamma 90.00
loop_
_atom_site_label
_atom_site_fract_x
_atom_site_fract_y
_atom_site_fract_z
La1 0.000 0.000 0.000
La2 0.213 0.287 0.143
Tb1 0.000 0.500 0.250
Nd1 0.121 0.379 0.500
Ho1 0.000 0.000 0.250

(6)
# GGA-PBE HPdF, relaxed
# * spin magnetization: 0.00 μB/cell
# * E above lowest polymorph: 275 meV per atom
data_HPdF
_chemical_formula_sum 'H4 Pd4 F4'
_space_group_name_H-M_alt 'P n m a'
_space_group_IT_number 62
_cell_length_a 5.497
_cell_length_b 3.093
_cell_length_c 8.607
_cell_angle_alpha 90.00
_cell_angle_beta 90.00
_cell_angle_gamma 90.00
loop_
_space_group_symop_operation_xyz
'x,y,z'
'-x,-y,-z'
'-x+1/2,-y,z+1/2'
'x+1/2,y,-z+1/2'
'x+1/2,-y+1/2,-z+1/2'
'-x+1/2,y+1/2,z+1/2'
'-x,y+1/2,-z'
'x,-y+1/2,z'
loop_
_atom_site_label
_atom_site_fract_x
_atom_site_fract_y
_atom_site_fract_z
H1 0.093 0.250 0.086
Pd1 0.194 0.750 0.973
F1 0.076 0.750 0.377

(7)
# GGA-PBE IrSO2F, relaxed
# * formation energy from raw total energies: 0.66 eV per atom
# * spin magnetization: 2.24 μB/cell
data_IrSO2F
_chemical_formula_sum 'Ir1 S1 O2 F1'
_space_group_name_H-M_alt 'P 4/m m m'
_space_group_IT_number 123
_space_group_name_Hall '-P 4 2'
_cell_length_a 3.436
_cell_length_b 3.436
_cell_length_c 6.297
_cell_angle_alpha 90.00
_cell_angle_beta 90.00
_cell_angle_gamma 90.00
loop_
_atom_site_label
_atom_site_fract_x
_atom_site_fract_y
_atom_site_fract_z
Ir1 0.000 0.000 0.000
S1 0.500 0.500 0.500
O1 0.000 0.500 0.500
F1 0.500 0.500 0.000

(8)
# GGA-PBE HgIr2W, relaxed
# * spin magnetization: 0.00 μB/cell
data_HgIr2W
_chemical_formula_sum 'Hg1 Ir2 W1'
_space_group_name_H-M_alt 'P m m m'
_space_group_IT_number 47
_cell_length_a 2.858
_cell_length_b 3.791
_cell_length_c 6.048
_cell_angle_alpha 90.00
_cell_angle_beta 90.00
_cell_angle_gamma 90.00
loop_
_space_group_symop_operation_xyz
'x,y,z'
'-x,-y,-z'
'-x,-y,z'
'x,y,-z'
'x,-y,-z'
'-x,y,z'
'-x,y,-z'
'x,-y,z'
loop_
_atom_site_label
_atom_site_fract_x
_atom_site_fract_y
_atom_site_fract_z
Hg1 0.000 0.000 0.000
Ir1 0.500 0.500 0.275
W1 0.000 0.000 0.500

Table of E_tot (eV per atom), in record order: -3.509; -3.705; -6.603; -6.969; -4.557; -4.028; -4.295; -7.602